Material: BaNbRh2
Method: DFT, SCAN
State: PBEsol geometry

Lattice parameters (Å, degrees): 6.7671 6.7671 6.7671 90.00 90.00 90.00
With the nearest neighbours (Å) after each atom.
Space group Fm-3m (No. 225)
Asymmetric unit:
Ba 0.0000 0.0000 0.0000 (multiplicity 4)  8 Rh 2.93
Nb 0.0000 0.0000 0.5000 (multiplicity 4)  8 Rh 2.93
Rh 0.2500 0.2500 0.2500 (multiplicity 8)  4 Ba 2.93, 4 Nb 2.93

Computed properties:
The formation enthalpy at 0 K comes out at 0.434 eV/atom. The electronic total energy comes out at -34.622 eV/atom. The calculation puts the density of states at the Fermi level at 2.974 states/eV/f.u.